(1)
Compound: Pr2TmTc2N6
Source: Alexandria via LeMat-Bulk
Functional: PBE-GGA
Structure: relaxed

Properties
E_form (uncorrected) ... -7.2 eV per formula unit
SG ... R-3m

Lattice parameters (Å, degrees): 6.800 6.800 6.800 50.09 50.09 50.09
Sites, in units of the cell vectors:
Pr 0.209 0.209 0.209
Pr 0.791 0.791 0.791
Tm 0.000 0.000 0.000
Tc 0.399 0.399 0.399
Tc 0.601 0.601 0.601
N 0.227 0.743 0.743
N 0.257 0.257 0.773
N 0.257 0.773 0.257
N 0.743 0.227 0.743
N 0.743 0.743 0.227
N 0.773 0.257 0.257

---

(2)
Compound: ZnCrPb2
Source: Alexandria via LeMat-Bulk
Functional: PBE-GGA
Structure: relaxed

Properties
Calculated total energy ... -4.20 eV/atom
SG ... Imm2

Lattice parameters (Å, degrees): 6.184 6.184 6.184 147.75 132.09 58.93
Sites, in units of the cell vectors:
Zn 0.000 0.000 0.000
Cr 0.195 0.695 0.500
Pb 0.445 0.445 0.000
Pb 0.730 0.230 0.500

---

(3)
Compound: NaLi4Cd2
Source: Alexandria via LeMat-Bulk
Functional: PBE-GGA
Structure: relaxed

Properties
Calculated total energy ... -1.63 eV/atom
SG ... C2/m

Lattice parameters (Å, degrees): 10.330 10.330 4.944 103.48 103.48 16.47
Sites, in units of the cell vectors:
Na 0.000 0.000 0.000
Li 0.147 0.147 0.145
Li 0.216 0.216 0.716
Li 0.784 0.784 0.284
Li 0.853 0.853 0.855
Cd 0.412 0.412 0.413
Cd 0.588 0.588 0.587

---

(4)
Compound: Mn2AlHg
Source: Alexandria via LeMat-Bulk
Functional: PBE-GGA
Structure: relaxed

Properties
SG ... P4/mmm
Offset from the most stable computed form ... 2.5 meV/atom

Lattice parameters (Å, degrees): 2.825 2.825 7.781 90.00 90.00 90.00
Sites, in units of the cell vectors:
Mn 0.000 0.000 0.222
Mn 0.000 0.000 0.778
Al 0.500 0.500 0.000
Hg 0.500 0.500 0.500

---

(5)
Compound: RhAuC2
Source: Alexandria via LeMat-Bulk
Functional: PBE-GGA
Structure: relaxed

Properties
SG ... I-42d
Offset from the most stable computed form ... 0.0 meV/atom

Lattice parameters (Å, degrees): 5.714 5.714 5.714 129.39 129.39 74.39
Sites, in units of the cell vectors:
Rh 0.000 0.000 0.000
Rh 0.750 0.250 0.500
Au 0.250 0.750 0.500
Au 0.500 0.500 0.000
C 0.089 0.625 0.964
C 0.375 0.339 0.464
C 0.661 0.125 0.036
C 0.875 0.911 0.536

---

(6)
Compound: PmSmUO6
Source: Alexandria via LeMat-Bulk
Functional: PBE-GGA
Structure: relaxed

Properties
E_form (uncorrected) ... -29.6 eV per formula unit
SG ... P-31c

Lattice parameters (Å, degrees): 5.906 5.906 9.528 90.00 90.00 120.00
Sites, in units of the cell vectors:
Pm 0.000 0.000 0.000
Pm 0.000 0.000 0.500
Sm 0.333 0.667 0.250
Sm 0.667 0.333 0.750
U 0.333 0.667 0.750
U 0.667 0.333 0.250
O 0.031 0.362 0.635
O 0.031 0.669 0.865
O 0.331 0.362 0.865
O 0.331 0.969 0.635
O 0.362 0.031 0.135
O 0.362 0.331 0.365
O 0.638 0.669 0.635
O 0.638 0.969 0.865
O 0.669 0.031 0.365
O 0.669 0.638 0.135
O 0.969 0.331 0.135
O 0.969 0.638 0.365

---

(7)
Compound: Er2GePd
Source: Alexandria via LeMat-Bulk
Functional: PBE-GGA
Structure: relaxed

Properties
Calculated total energy ... -5.38 eV/atom
SG ... R3m

Lattice parameters (Å, degrees): 6.024 6.024 6.024 43.29 43.29 43.29
Sites, in units of the cell vectors:
Er 0.000 0.000 0.000
Er 0.195 0.195 0.195
Ge 0.408 0.408 0.408
Pd 0.782 0.782 0.782

---

(8)
Compound: Pm8Er2Hg
Source: Alexandria via LeMat-Bulk
Functional: PBE-GGA
Structure: relaxed

Properties
Calculated total energy ... -4.30 eV/atom
SG ... C2/m

Lattice parameters (Å, degrees): 9.390 9.390 7.858 111.13 111.13 34.60
Sites, in units of the cell vectors:
Pm 0.009 0.009 0.254
Pm 0.180 0.180 0.717
Pm 0.342 0.342 0.590
Pm 0.383 0.383 0.075
Pm 0.617 0.617 0.925
Pm 0.658 0.658 0.410
Pm 0.820 0.820 0.283
Pm 0.991 0.991 0.746
Er 0.190 0.190 0.162
Er 0.810 0.810 0.838
Hg 0.500 0.500 0.500

---

(9)
Compound: PmLuRhAu
Source: Alexandria via LeMat-Bulk
Functional: PBE-GGA
Structure: relaxed

Properties
Calculated total energy ... -5.76 eV/atom
SG ... F-43m

Lattice parameters (Å, degrees): 4.996 4.996 4.996 60.00 60.00 60.00
Sites, in units of the cell vectors:
Pm 0.000 0.000 0.000
Lu 0.500 0.500 0.500
Rh 0.250 0.250 0.250
Au 0.750 0.750 0.750

---

(10)
Compound: Na2Li2Si
Source: Alexandria via LeMat-Bulk
Functional: PBE-GGA
Structure: relaxed

Properties
E_form (uncorrected) ... 1.9 eV per formula unit
SG ... I4/mmm
Offset from the most stable computed form ... 309.1 meV/atom

Lattice parameters (Å, degrees): 7.827 7.827 7.827 150.73 150.73 41.87
Sites, in units of the cell vectors:
Na 0.250 0.750 0.500
Na 0.750 0.250 0.500
Li 0.080 0.080 0.000
Li 0.920 0.920 0.000
Si 0.500 0.500 0.000

---

(11)
Compound: MgSbCl2
Source: Alexandria via LeMat-Bulk
Functional: PBE-GGA
Structure: relaxed

Properties
E_form (uncorrected) ... -0.5 eV per formula unit
SG ... F-43m
Offset from the most stable computed form ... 991.1 meV/atom

Lattice parameters (Å, degrees): 5.117 5.117 5.117 60.00 60.00 60.00
Sites, in units of the cell vectors:
Mg 0.000 0.000 0.000
Sb 0.250 0.250 0.250
Cl 0.500 0.500 0.500
Cl 0.750 0.750 0.750

---

(12)
Compound: NbPtN2
Source: Alexandria via LeMat-Bulk
Functional: PBE-GGA
Structure: relaxed

Properties
E_form (uncorrected) ... 2.7 eV per formula unit
SG ... Fm-3m
Offset from the most stable computed form ... 943.0 meV/atom

Lattice parameters (Å, degrees): 3.955 3.955 3.955 60.00 60.00 60.00
Sites, in units of the cell vectors:
Nb 0.000 0.000 0.000
Pt 0.500 0.500 0.500
N 0.250 0.250 0.250
N 0.750 0.750 0.750

---

(13)
Compound: Hf2TaCdN
Source: Alexandria via LeMat-Bulk
Functional: PBE-GGA
Structure: relaxed

Properties
E_form (uncorrected) ... -2.9 eV per formula unit
SG ... P4/mmm

Lattice parameters (Å, degrees): 4.554 4.554 4.143 90.00 90.00 90.00
Sites, in units of the cell vectors:
Hf 0.000 0.500 0.000
Hf 0.500 0.000 0.000
Ta 0.000 0.000 0.500
Cd 0.500 0.500 0.500
N 0.000 0.000 0.000

---

(14)
Compound: Sm4Al16Co3
Source: Alexandria via LeMat-Bulk
Functional: PBE-GGA
Structure: relaxed

Properties
Calculated total energy ... -4.83 eV/atom
SG ... P4/mmm

Lattice parameters (Å, degrees): 6.073 6.073 11.302 90.00 90.00 90.00
Sites, in units of the cell vectors:
Sm 0.000 0.500 0.194
Sm 0.000 0.500 0.806
Sm 0.500 0.000 0.194
Sm 0.500 0.000 0.806
Al 0.000 0.000 0.193
Al 0.000 0.000 0.807
Al 0.224 0.224 0.000
Al 0.224 0.776 0.000
Al 0.251 0.251 0.386
Al 0.251 0.251 0.614
Al 0.251 0.749 0.386
Al 0.251 0.749 0.614
Al 0.500 0.500 0.215
Al 0.500 0.500 0.785
Al 0.749 0.251 0.386
Al 0.749 0.251 0.614
Al 0.749 0.749 0.386
Al 0.749 0.749 0.614
Al 0.776 0.224 0.000
Al 0.776 0.776 0.000
Co 0.000 0.500 0.500
Co 0.500 0.000 0.500
Co 0.500 0.500 0.000

---

(15)
Compound: HoNb2Os2
Source: Alexandria via LeMat-Bulk
Functional: PBE-GGA
Structure: relaxed

Properties
Calculated total energy ... -9.68 eV/atom
SG ... I4/mmm

Lattice parameters (Å, degrees): 6.162 6.162 6.162 138.20 138.20 60.60
Sites, in units of the cell vectors:
Ho 0.000 0.000 0.000
Nb 0.250 0.750 0.500
Nb 0.750 0.250 0.500
Os 0.382 0.382 0.000
Os 0.618 0.618 0.000

---

(16)
Compound: NaLiAc2
Source: Alexandria via LeMat-Bulk
Functional: PBE-GGA
Structure: relaxed

Properties
SG ... P4/mmm
Offset from the most stable computed form ... 0.0 meV/atom

Lattice parameters (Å, degrees): 3.951 3.951 9.603 90.00 90.00 90.00
Sites, in units of the cell vectors:
Na 0.000 0.000 0.000
Li 0.000 0.000 0.500
Ac 0.500 0.500 0.288
Ac 0.500 0.500 0.712

---

(17)
Compound: Zr6InHg5
Source: Alexandria via LeMat-Bulk
Functional: PBE-GGA
Structure: relaxed

Properties
Calculated total energy ... -4.83 eV/atom
SG ... Cmmm

Lattice parameters (Å, degrees): 7.114 7.114 8.596 90.00 90.00 143.29
Sites, in units of the cell vectors:
Zr 0.000 0.000 0.248
Zr 0.000 0.000 0.752
Zr 0.333 0.667 0.250
Zr 0.333 0.667 0.750
Zr 0.667 0.333 0.250
Zr 0.667 0.333 0.750
In 0.500 0.500 0.500
Hg 0.166 0.834 0.500
Hg 0.167 0.833 0.000
Hg 0.500 0.500 0.000
Hg 0.833 0.167 0.000
Hg 0.834 0.166 0.500

---

(18)
Compound: ZrHgAs2Se
Source: Alexandria via LeMat-Bulk
Functional: PBE-GGA
Structure: relaxed

Properties
E_form (uncorrected) ... 0.1 eV per formula unit
SG ... P4/mmm
Offset from the most stable computed form ... 0.0 meV/atom

Lattice parameters (Å, degrees): 5.280 5.280 5.173 90.00 90.00 90.00
Sites, in units of the cell vectors:
Zr 0.000 0.000 0.000
Hg 0.500 0.500 0.500
As 0.000 0.500 0.000
As 0.500 0.000 0.000
Se 0.000 0.000 0.500

---

(19)
Compound: Pm7RuPb2
Source: Alexandria via LeMat-Bulk
Functional: PBE-GGA
Structure: relaxed

Properties
Calculated total energy ... -4.86 eV/atom
SG ... Fm-3m

Lattice parameters (Å, degrees): 7.828 7.828 7.828 60.00 60.00 60.00
Sites, in units of the cell vectors:
Pm 0.000 0.000 0.000
Pm 0.259 0.259 0.741
Pm 0.259 0.741 0.259
Pm 0.259 0.741 0.741
Pm 0.741 0.259 0.259
Pm 0.741 0.259 0.741
Pm 0.741 0.741 0.259
Ru 0.500 0.500 0.500
Pb 0.250 0.250 0.250
Pb 0.750 0.750 0.750

---

(20)
Compound: LiTm3In3Ru2
Source: Alexandria via LeMat-Bulk
Functional: PBE-GGA
Structure: relaxed

Properties
Calculated total energy ... -5.05 eV/atom
SG ... P-62m

Lattice parameters (Å, degrees): 7.616 7.616 3.733 90.00 90.00 120.00
Sites, in units of the cell vectors:
Li 0.000 0.000 0.000
Tm 0.000 0.416 0.000
Tm 0.416 0.000 0.000
Tm 0.584 0.584 0.000
In 0.000 0.741 0.500
In 0.259 0.259 0.500
In 0.741 0.000 0.500
Ru 0.333 0.667 0.500
Ru 0.667 0.333 0.500

---

(21)
Compound: TlMoPOsRu
Source: Alexandria via LeMat-Bulk
Functional: PBE-GGA
Structure: relaxed

Properties
SG ... P1
Offset from the most stable computed form ... 230.0 meV/atom

Lattice parameters (Å, degrees): 4.371 4.482 5.176 104.65 103.70 105.26
Sites, in units of the cell vectors:
Tl 0.000 0.000 0.000
Mo 0.442 0.356 0.736
P 0.247 0.725 0.490
Os 0.636 0.558 0.273
Ru 0.832 0.167 0.500

---

(22)
Compound: La4Er2Sc
Source: Alexandria via LeMat-Bulk
Functional: PBE-GGA
Structure: relaxed

Properties
Calculated total energy ... -4.98 eV/atom
SG ... P-1

Lattice parameters (Å, degrees): 6.264 8.046 9.507 89.27 89.83 74.88
Sites, in units of the cell vectors:
La 0.145 0.073 0.361
La 0.148 0.572 0.856
La 0.289 0.640 0.222
La 0.293 0.138 0.713
La 0.707 0.862 0.287
La 0.711 0.360 0.778
La 0.852 0.428 0.144
La 0.855 0.927 0.639
Er 0.000 0.000 0.000
Er 0.000 0.500 0.500
Er 0.430 0.211 0.073
Er 0.570 0.789 0.927
Sc 0.432 0.705 0.570
Sc 0.568 0.295 0.430

---

(23)
Compound: Er4Mg3Co
Source: Alexandria via LeMat-Bulk
Functional: PBE-GGA
Structure: relaxed

Properties
Calculated total energy ... -3.87 eV/atom
SG ... P4/mmm

Lattice parameters (Å, degrees): 3.423 3.423 16.860 90.00 90.00 90.00
Sites, in units of the cell vectors:
Er 0.000 0.000 0.094
Er 0.000 0.000 0.366
Er 0.000 0.000 0.634
Er 0.000 0.000 0.906
Mg 0.500 0.500 0.234
Mg 0.500 0.500 0.500
Mg 0.500 0.500 0.766
Co 0.500 0.500 0.000

---

(24)
Compound: TaAlS6
Source: Alexandria via LeMat-Bulk
Functional: PBE-GGA
Structure: relaxed

Properties
E_form (uncorrected) ... -4.2 eV per formula unit
SG ... P-1

Lattice parameters (Å, degrees): 6.015 6.020 6.053 108.77 119.05 100.49
Sites, in units of the cell vectors:
Ta 0.000 0.000 0.000
Al 0.500 0.500 0.000
S 0.086 0.591 0.922
S 0.159 0.096 0.497
S 0.463 0.246 0.203
S 0.537 0.754 0.797
S 0.841 0.904 0.503
S 0.914 0.409 0.078

---

(25)
Compound: Ce3PrBi4
Source: Alexandria via LeMat-Bulk
Functional: PBE-GGA
Structure: relaxed

Properties
SG ... Cmmm
Offset from the most stable computed form ... 0.0 meV/atom

Lattice parameters (Å, degrees): 7.986 7.986 4.613 90.00 90.00 109.45
Sites, in units of the cell vectors:
Ce 0.000 0.000 0.000
Ce 0.000 0.500 0.500
Ce 0.500 0.000 0.500
Pr 0.500 0.500 0.000
Bi 0.247 0.247 0.500
Bi 0.249 0.751 0.000
Bi 0.751 0.249 0.000
Bi 0.753 0.753 0.500